{"formula": "Pr2Al4Ag3Au", "functional": "PBE", "state": "optimized geometry", "density_g_cm3": 7.177, "formation_energy_mev_per_atom": -438, "lattice": [[4.433, 0.000, 0.000], [0.000, 4.433, 0.000], [0.000, 0.000, 10.719]], "species": ["Pr", "Pr", "Al", "Al", "Al", "Al", "Ag", "Ag", "Ag", "Au"], "frac_coords": [[0.000, 0.500, 0.248], [0.500, 0.000, 0.752], [0.000, 0.000, 0.500], [0.000, 0.500, 0.869], [0.500, 0.000, 0.131], [0.500, 0.500, 0.500], [0.000, 0.000, 0.000], [0.000, 0.500, 0.632], [0.500, 0.000, 0.368], [0.500, 0.500, 0.000]]}